(1)
Here is a geometry-optimized MgBPd3 structure from the Alexandria database. Energies are from PBE.

Lattice parameters (Å, degrees): 4.489 5.362 7.868 90.00 106.42 90.00
Space group P2_1/m (No. 11)
Symmetry-distinct sites (fractional):
Mg1 0.136 0.250 0.270
B1 0.400 0.250 0.803
Pd1 0.304 0.501 0.608
Pd2 0.467 0.750 0.935

Computed properties:
total magnetization: 0.0 Bohr magnetons per cell
D(E_F): 1.87 states/eV/f.u.
relative energy among the computed polymorphs: 440.2 meV per atom
total DFT energy (no corrections): -24.1 eV per formula unit

(2)
Here is a geometry-optimized La7Pm2Sm2 structure from the Alexandria database. Energies are from PBE.

Lattice parameters (Å, degrees): 11.633 11.677 6.276 90.00 111.39 90.00
Space group C2/m (No. 12)
Symmetry-distinct sites (fractional):
La1 0.000 0.000 0.000
La2 0.076 0.500 0.804
La3 0.184 0.231 0.179
Pm1 0.229 0.000 0.591
Sm1 0.000 0.213 0.500

Computed properties:
total magnetization: 0.0 Bohr magnetons per cell
D(E_F): 17.72 states/eV/f.u.
total DFT energy (no corrections): -52.2 eV per formula unit

(3)
Here is a geometry-optimized ZnCd3 structure from the Alexandria database. Energies are from PBE.

Lattice parameters (Å, degrees): 9.764 3.181 5.534 90.00 102.96 90.00
Space group C2/m (No. 12)
Symmetry-distinct sites (fractional):
Zn1 0.000 0.000 0.000
Cd1 0.000 0.500 0.500
Cd2 0.242 0.500 0.237

Computed properties:
total magnetization: 0.0 Bohr magnetons per cell
D(E_F): 1.18 states/eV/f.u.
total DFT energy (no corrections): -3.8 eV per formula unit

D(E_F) of number 2 (La7Pm2Sm2)? 17.72 states/eV/f.u.

Which value of total magnetization does entry 1 give? 0.0 Bohr magnetons per cell